(1)
A relaxed Rb2TaVF6 crystal. Source: the Alexandria database, functional GGA+U.

Calculated values
Total magnetic moment: 24.000 μB per cell
Raw total energy: -5.59 eV per atom

a b c (Å): 8.7092 8.7092 8.7092
angles (deg): 90.00 90.00 90.00
With the nearest neighbours (Å) after each atom.
Space group Fm-3m (No. 225)
Inequivalent atoms, fractional coordinates:
Rb1 0.2500 0.2500 0.2500 x8  12 F 3.08
Ta1 0.0000 0.0000 0.0000 x4  6 F 2.23
V1 0.0000 0.0000 0.5000 x4  6 F 2.13
F1 0.0000 0.0000 0.2556 x24  1 V 2.13, 1 Ta 2.23

(2)
A relaxed Rb2TaWF6 crystal. Source: the Alexandria database, functional GGA+U.

Calculated values
Total magnetic moment: 10.000 μB per cell
Raw total energy: -5.36 eV per atom

a b c (Å): 7.4481 7.4481 8.6000
angles (deg): 90.00 90.00 90.00
With the nearest neighbours (Å) after each atom.
Space group I4/mmm (No. 139)
Inequivalent atoms, fractional coordinates:
Rb1 0.0000 0.5000 0.2500 x4  12 F 3.46-3.73
Ta1 0.0000 0.0000 0.0000 x2  6 F 1.98-2.05
W1 0.0000 0.0000 0.5000 x2  2 F 2.25
F1 0.0000 0.0000 0.2387 x4  1 Ta 2.05, 1 W 2.25
F2 0.1879 0.1879 0.0000 x8  1 Ta 1.98

Question: Which formula does entry 1 have?
Answer: Rb2TaVF6

What did the first record say?
A relaxed Rb2TaVF6 crystal. Source: the Alexandria database, functional GGA+U.

Calculated values
Total magnetic moment: 24.000 μB per cell
Raw total energy: -5.59 eV per atom

a b c (Å): 8.7092 8.7092 8.7092
angles (deg): 90.00 90.00 90.00
With the nearest neighbours (Å) after each atom.
Space group Fm-3m (No. 225)
Inequivalent atoms, fractional coordinates:
Rb1 0.2500 0.2500 0.2500 x8  12 F 3.08
Ta1 0.0000 0.0000 0.0000 x4  6 F 2.23
V1 0.0000 0.0000 0.5000 x4  6 F 2.13
F1 0.0000 0.0000 0.2556 x24  1 V 2.13, 1 Ta 2.23

Question: What is the total magnetic moment in the second record?
Answer: 10.000 μB per cell